# 1
First-principles (PBE) data for an optimized crystal structure of ZnPRhO2, as listed in Alexandria via LeMat-Bulk.

* space group: P4/mmm
* density of states at the Fermi level: 2.8 states/eV per cell
* formation energy without anion corrections: -0.090 eV per atom
* magnetization: 0.0 μB/f.u.
* energy relative to the lowest polymorph listed for this composition: 0.00 kcal/mol of atoms

a = 3.756 Å, b = 3.756 Å, c = 5.262 Å
α = 90.00°, β = 90.00°, γ = 90.00°
Sites, in units of the cell vectors:
1 P 0.000 0.000 0.500
2 O 0.500 0.000 0.000
3 O 0.000 0.500 0.000
4 Zn 0.500 0.500 0.500
5 Rh 0.000 0.000 0.000


# 2
First-principles (PBE) data for an optimized crystal structure of PRuO4, as listed in Alexandria via LeMat-Bulk.

* space group: Cmcm
* density of states at the Fermi level: 6.5 states/eV per cell
* formation energy without anion corrections: -1.471 eV per atom
* magnetization: 1.0 μB/f.u.

a = 4.781 Å, b = 4.781 Å, c = 6.483 Å
α = 90.00°, β = 90.00°, γ = 113.87°
Sites, in units of the cell vectors:
1 O 0.217 0.287 0.250
2 O 0.250 0.750 0.049
3 O 0.783 0.713 0.750
4 O 0.287 0.217 0.750
5 O 0.750 0.250 0.549
6 O 0.750 0.250 0.951
7 O 0.713 0.783 0.250
8 O 0.250 0.750 0.451
9 Ru 0.000 0.000 0.000
10 Ru 0.000 0.000 0.500
11 P 0.653 0.347 0.750
12 P 0.347 0.653 0.250


# 3
First-principles (PBE) data for an optimized crystal structure of P3RuO9, as listed in Alexandria via LeMat-Bulk.

* space group: C2/c
* density of states at the Fermi level: 11.7 states/eV per cell
* formation energy without anion corrections: -1.784 eV per atom
* magnetization: 1.0 μB/f.u.
* energy relative to the lowest polymorph listed for this composition: 0.51 kcal/mol of atoms

a = 7.453 Å, b = 7.453 Å, c = 9.551 Å
α = 57.61°, β = 57.61°, γ = 52.38°
Sites, in units of the cell vectors:
1 O 0.167 0.035 0.592
2 O 0.500 0.500 0.500
3 O 0.390 0.337 0.330
4 O 0.594 0.853 0.323
5 O 0.500 0.500 0.000
6 O 0.610 0.663 0.670
7 O 0.147 0.406 0.177
8 O 0.337 0.390 0.830
9 O 0.752 0.137 0.677
10 O 0.663 0.610 0.170
11 O 0.137 0.752 0.177
12 O 0.965 0.833 0.908
13 O 0.406 0.147 0.677
14 O 0.833 0.965 0.408
15 O 0.863 0.248 0.823
16 O 0.248 0.863 0.323
17 O 0.853 0.594 0.823
18 O 0.035 0.167 0.092
19 P 0.481 0.292 0.679
20 P 0.708 0.519 0.821
21 P 0.292 0.481 0.179
22 P 0.051 0.949 0.250
23 P 0.519 0.708 0.321
24 P 0.949 0.051 0.750
25 Ru 0.000 0.500 0.000
26 Ru 0.500 0.000 0.500


# 4
First-principles (PBE) data for an optimized crystal structure of PRuO5, as listed in Alexandria via LeMat-Bulk.

* space group: C2/c
* density of states at the Fermi level: 7.7 states/eV per cell
* formation energy without anion corrections: -1.456 eV per atom
* magnetization: 0.0 μB/f.u.

a = 5.252 Å, b = 5.252 Å, c = 7.214 Å
α = 109.52°, β = 109.52°, γ = 92.37°
Sites, in units of the cell vectors:
1 O 0.182 0.696 0.353
2 O 0.818 0.304 0.647
3 O 0.256 0.268 0.575
4 O 0.804 0.318 0.147
5 O 0.744 0.732 0.425
6 O 0.768 0.756 0.075
7 O 0.196 0.682 0.853
8 O 0.448 0.052 0.250
9 O 0.232 0.244 0.925
10 O 0.552 0.948 0.750
11 P 0.866 0.634 0.250
12 P 0.134 0.366 0.750
13 Ru 0.500 0.000 0.000
14 Ru 0.500 0.000 0.500


# 5
First-principles (PBE) data for an optimized crystal structure of P2RuO6, as listed in Alexandria via LeMat-Bulk.

* space group: C2/m
* formation energy without anion corrections: -1.386 eV per atom
* magnetization: 0.0 μB/f.u.

a = 3.527 Å, b = 5.185 Å, c = 6.177 Å
α = 101.61°, β = 90.00°, γ = 109.88°
Sites, in units of the cell vectors:
1 O 0.891 0.781 0.759
2 O 0.759 0.518 0.099
3 O 0.611 0.221 0.656
4 O 0.109 0.219 0.241
5 O 0.389 0.779 0.344
6 O 0.241 0.482 0.901
7 Ru 0.000 0.000 0.500
8 P 0.753 0.505 0.824
9 P 0.247 0.495 0.176


# 6
First-principles (PBE) data for an optimized crystal structure of P2RuO2, as listed in Alexandria via LeMat-Bulk.

* space group: P4/mmm
* density of states at the Fermi level: 2.7 states/eV per cell
* formation energy without anion corrections: 0.489 eV per atom
* magnetization: 0.0 μB/f.u.
* energy relative to the lowest polymorph listed for this composition: 15.57 kcal/mol of atoms

a = 4.603 Å, b = 4.603 Å, c = 3.661 Å
α = 90.00°, β = 90.00°, γ = 90.00°
Sites, in units of the cell vectors:
1 P 0.000 0.500 0.000
2 P 0.500 0.000 0.000
3 Ru 0.000 0.000 0.000
4 O 0.000 0.000 0.500
5 O 0.500 0.500 0.500


# 7
First-principles (PBE) data for an optimized crystal structure of P2RuO2, as listed in Alexandria via LeMat-Bulk.

* space group: P4/mmm
* density of states at the Fermi level: 2.9 states/eV per cell
* formation energy without anion corrections: 0.659 eV per atom
* magnetization: 0.0 μB/f.u.
* energy relative to the lowest polymorph listed for this composition: 19.49 kcal/mol of atoms

a = 3.840 Å, b = 3.840 Å, c = 3.942 Å
α = 90.00°, β = 90.00°, γ = 90.00°
Sites, in units of the cell vectors:
1 O 0.000 0.000 0.500
2 O 0.000 0.000 0.000
3 Ru 0.500 0.500 0.500
4 P 0.500 0.000 0.000
5 P 0.000 0.500 0.000


# 8
First-principles (PBE) data for an optimized crystal structure of P2RuO2, as listed in Alexandria via LeMat-Bulk.

* space group: P4/mmm
* density of states at the Fermi level: 3.4 states/eV per cell
* formation energy without anion corrections: -0.186 eV per atom
* magnetization: 0.4 μB/f.u.
* energy relative to the lowest polymorph listed for this composition: 0.00 kcal/mol of atoms

a = 3.303 Å, b = 3.303 Å, c = 6.790 Å
α = 90.00°, β = 90.00°, γ = 90.00°
Sites, in units of the cell vectors:
1 O 0.500 0.000 0.000
2 O 0.000 0.500 0.000
3 Ru 0.500 0.500 0.500
4 P 0.000 0.000 0.500
5 P 0.000 0.000 0.000


Which of these has the lowest formation energy without anion corrections? P3RuO9